A geometry-optimized TbNdC4 structure. Source: Alexandria, functional GGA-PBE.

VASP energy = -7.866 eV/atom

a = 7.523 Å, b = 3.759 Å, c = 7.262 Å
α = 90.00°, β = 118.47°, γ = 90.00°
Space group C2/m (No. 12)
Symmetry-distinct sites (fractional):
Tb: 0.000 0.000 0.000 x2
Nd: 0.000 0.500 0.500 x2
C: 0.194 0.500 0.288 x4
C: 0.200 0.000 0.810 x4

=====

A geometry-optimized BeInTc2 structure. Source: Alexandria, functional GGA-PBE.

distance to the lowest polymorph of the same formula = 0.232 eV/atom
VASP energy = -6.579 eV/atom

a = 3.056 Å, b = 4.499 Å, c = 8.442 Å
α = 90.00°, β = 90.00°, γ = 90.00°
Space group Immm (No. 71)
Symmetry-distinct sites (fractional):
Be: 0.000 0.000 0.000 x2
In: 0.000 0.000 0.500 x2
Tc: 0.000 0.500 0.295 x4

=====

A geometry-optimized PuSn3Te6 structure. Source: Alexandria, functional GGA-PBE.

formation energy from raw total energies = -375 meV per atom
VASP energy = -4.894 eV/atom

a = 12.780 Å, b = 4.297 Å, c = 13.105 Å
α = 90.00°, β = 112.97°, γ = 90.00°
Space group P2_1/m (No. 11)
Symmetry-distinct sites (fractional):
Pu: 0.206 0.250 0.045 x2
Sn: 0.049 0.750 0.296 x2
Sn: 0.343 0.250 0.454 x2
Sn: 0.384 0.750 0.833 x2
Te: 0.024 0.750 0.906 x2
Te: 0.110 0.250 0.466 x2
Te: 0.211 0.250 0.797 x2
Te: 0.253 0.750 0.240 x2
Te: 0.399 0.750 0.070 x2
Te: 0.443 0.750 0.623 x2

=====

A geometry-optimized AgIr2W structure. Source: Alexandria, functional GGA-PBE.

distance to the lowest polymorph of the same formula = 0.209 eV/atom
VASP energy = -8.170 eV/atom

a = 2.885 Å, b = 4.681 Å, c = 9.449 Å
α = 90.00°, β = 90.00°, γ = 90.00°
Space group Cmmm (No. 65)
Symmetry-distinct sites (fractional):
Ag: 0.000 0.000 0.000 x2
Ir: 0.000 0.500 0.264 x4
W: 0.000 0.000 0.500 x2

=====

A geometry-optimized GdThCd4 structure. Source: Alexandria, functional GGA-PBE.

VASP energy = -4.394 eV/atom

a = 8.435 Å, b = 8.435 Å, c = 8.435 Å
α = 90.00°, β = 90.00°, γ = 90.00°
Space group F-43m (No. 216)
Symmetry-distinct sites (fractional):
Gd: 0.000 0.000 0.000 x4
Th: 0.250 0.250 0.250 x4
Cd: 0.125 0.125 0.625 x16

=====

A geometry-optimized Li2TaAl2 structure. Source: Alexandria, functional GGA-PBE.

distance to the lowest polymorph of the same formula = 0.065 eV/atom
VASP energy = -4.464 eV/atom

a = 4.043 Å, b = 4.043 Å, c = 8.865 Å
α = 90.00°, β = 90.00°, γ = 90.00°
Space group I4/mmm (No. 139)
Symmetry-distinct sites (fractional):
Li: 0.000 0.000 0.108 x4
Ta: 0.000 0.000 0.500 x2
Al: 0.000 0.500 0.250 x4